Entry from the Alexandria database: a relaxed structure of BaLi2Mg (PBE-GGA).

- total DFT energy (no corrections) (eV per atom) = -1.7518

```
data_BaLi2Mg
_chemical_formula_sum 'Ba1 Li2 Mg1'
_cell_length_a 6.0239
_cell_length_b 6.0239
_cell_length_c 6.0239
_cell_angle_alpha 132.00
_cell_angle_beta 124.34
_cell_angle_gamma 76.51
_symmetry_space_group_name_H-M 'P 1'
_symmetry_Int_Tables_number 1
loop_
_symmetry_equiv_pos_as_xyz
'x,y,z'
loop_
_atom_site_label
_atom_site_fract_x
_atom_site_fract_y
_atom_site_fract_z
Ba1 0.2483 0.7483 0.5000
Li1 0.9752 0.9752 0.0000
Li2 0.7543 0.2543 0.5000
Mg1 0.5222 0.5222 0.0000
```

=====

Entry from the Alexandria database: a relaxed structure of AsRh2S (PBE-GGA).

- total DFT energy (no corrections) (eV per atom) = -5.8800
- formation energy from raw total energies (eV/atom) = -0.010

```
data_AsRh2S
_chemical_formula_sum 'As1 Rh2 S1'
_cell_length_a 4.3619
_cell_length_b 4.3619
_cell_length_c 4.3619
_cell_angle_alpha 60.00
_cell_angle_beta 60.00
_cell_angle_gamma 60.00
_symmetry_space_group_name_H-M 'P 1'
_symmetry_Int_Tables_number 1
loop_
_symmetry_equiv_pos_as_xyz
'x,y,z'
loop_
_atom_site_label
_atom_site_fract_x
_atom_site_fract_y
_atom_site_fract_z
As1 0.5000 0.5000 0.5000
Rh1 0.2500 0.2500 0.2500
Rh2 0.7500 0.7500 0.7500
S1 0.0000 0.0000 0.0000
```

=====

Entry from the Alexandria database: a relaxed structure of CoH2Se (PBE-GGA).

- E above lowest polymorph (meV per atom) = 0.0
- total DFT energy (no corrections) (eV per atom) = -3.8690

```
data_CoH2Se
_chemical_formula_sum 'Co2 H4 Se2'
_cell_length_a 3.4968
_cell_length_b 3.4968
_cell_length_c 6.5508
_cell_angle_alpha 74.52
_cell_angle_beta 74.52
_cell_angle_gamma 90.00
_symmetry_space_group_name_H-M 'P 1'
_symmetry_Int_Tables_number 1
loop_
_symmetry_equiv_pos_as_xyz
'x,y,z'
loop_
_atom_site_label
_atom_site_fract_x
_atom_site_fract_y
_atom_site_fract_z
H1 0.3752 0.1250 0.2500
H2 0.3748 0.6250 0.2500
H3 0.3750 0.6248 0.7500
H4 0.8750 0.6252 0.7500
Co1 0.5000 0.5000 0.0000
Co2 0.2500 0.7500 0.5000
Se1 0.0000 0.0000 0.0000
Se2 0.7500 0.2500 0.5000
```

=====

Entry from the Alexandria database: a relaxed structure of CoOs4Cl (PBE-GGA).

- total DFT energy (no corrections) (eV per atom) = -7.4847
- formation energy from raw total energies (eV/atom) = 1.494

```
data_CoOs4Cl
_chemical_formula_sum 'Co1 Os4 Cl1'
_cell_length_a 5.1821
_cell_length_b 5.1821
_cell_length_c 5.1821
_cell_angle_alpha 60.00
_cell_angle_beta 60.00
_cell_angle_gamma 60.00
_symmetry_space_group_name_H-M 'P 1'
_symmetry_Int_Tables_number 1
loop_
_symmetry_equiv_pos_as_xyz
'x,y,z'
loop_
_atom_site_label
_atom_site_fract_x
_atom_site_fract_y
_atom_site_fract_z
Co1 0.0000 0.0000 0.0000
Os1 0.8760 0.3747 0.3747
Os2 0.3747 0.3747 0.8760
Os3 0.3747 0.8760 0.3747
Os4 0.3747 0.3747 0.3747
Cl1 0.7500 0.7500 0.7500
```